## Cs3CeY2Se6 (PBE-GGA)

Data for a relaxed Cs3CeY2Se6 crystal.

Geometry as POSCAR:
```
Cs3CeY2Se6
1.0
3.753 -6.500 0.000
3.753 6.500 0.000
-2.503 0.000 8.373
Cs Ce Y Se
3 1 2 6
direct
0.000 0.000 0.000
0.334 0.666 0.000
0.666 0.334 0.000
0.500 0.500 0.500
0.167 0.833 0.500
0.833 0.167 0.500
0.096 0.438 0.313
0.221 0.221 0.686
0.438 0.096 0.313
0.562 0.904 0.687
0.779 0.779 0.314
0.904 0.562 0.687
```

D(E_F): 0.717 states/eV/atom
Space-group type: C2/m (12)
Magnetic moment: 1.01 μB/f.u.
Energy relative to the elements, uncorrected: -1.7061 eV/atom


## BTe2Os (PBE-GGA)

Data for a relaxed BTe2Os crystal.

Geometry as POSCAR:
```
BTe2Os
1.0
3.327 0.000 0.000
-1.663 2.881 0.000
0.000 0.000 23.960
B Te Os
3 6 3
direct
0.000 0.000 0.000
0.333 0.667 0.667
0.667 0.333 0.333
0.000 0.000 0.395
0.000 0.000 0.605
0.333 0.667 0.062
0.333 0.667 0.272
0.667 0.333 0.728
0.667 0.333 0.938
0.000 0.000 0.500
0.333 0.667 0.167
0.667 0.333 0.833
```

D(E_F): 0.570 states/eV/atom
Space-group type: R-3m (166)
Magnetic moment: 0.00 μB/f.u.
Energy relative to the elements, uncorrected: 1.2401 eV/atom


## ZrTlVCd2 (PBE-GGA)

Data for a relaxed ZrTlVCd2 crystal.

Geometry as POSCAR:
```
ZrTlVCd2
1.0
5.291 0.000 0.000
0.000 5.291 0.000
0.000 0.000 4.681
Zr Tl V Cd
1 1 1 2
direct
0.000 0.000 0.000
0.500 0.500 0.000
0.000 0.000 0.500
0.000 0.500 0.500
0.500 0.000 0.500
```

D(E_F): 0.796 states/eV/atom
Space-group type: P4/mmm (123)
Magnetic moment: 0.78 μB/f.u.
DFT formation energy: 3.10 eV per formula unit
Polymorph energy (0 for the lowest one): 0.0 kJ/mol of atoms